1.
Material: ScReSe2
Method: DFT, PBE
State: relaxed

Structure (POSCAR):
```
ScReSe2
1.0
-1.748 0.154 2.879
2.005 -2.354 1.343
4.317 5.018 2.352
Sc Se Re
1 2 1
direct
0.500 0.500 0.751 Sc
0.500 0.500 0.337 Se
0.000 0.000 0.907 Se
0.000 0.000 0.505 Re
```

Calculated values
Its space-group type is P4mm (99). The polymorph energy (0 for the lowest one) comes out at 0.0 kJ per mole of atoms. Its uncorrected formation energy is -0.489 eV/atom. The spin magnetization is 0.00 Bohr magnetons per cell.

=====

2.
Material: Hf2Tl2Se
Method: DFT, PBE
State: relaxed

Structure (POSCAR):
```
Hf2Tl2Se
1.0
7.012 0.000 0.000
0.000 7.012 0.000
0.000 0.000 4.758
Se Tl Hf
2 4 4
direct
0.000 0.000 0.000 Se
0.500 0.500 0.000 Se
0.658 0.842 0.500 Tl
0.342 0.158 0.500 Tl
0.158 0.658 0.500 Tl
0.842 0.342 0.500 Tl
0.656 0.156 0.000 Hf
0.844 0.656 0.000 Hf
0.344 0.844 0.000 Hf
0.156 0.344 0.000 Hf
```

Calculated values
Its space-group type is P4/mbm (127). Its uncorrected formation energy is -0.263 eV/atom. The spin magnetization is 0.00 Bohr magnetons per cell.

=====

3.
Material: SmPdI6
Method: DFT, PBE
State: relaxed

Structure (POSCAR):
```
SmPdI6
1.0
-7.102 1.510 -0.709
-5.121 -2.245 5.093
-3.022 5.561 4.574
I Sm Pd
6 1 1
direct
0.228 0.931 0.233 I
0.597 0.223 0.242 I
0.772 0.069 0.767 I
0.080 0.403 0.754 I
0.920 0.597 0.246 I
0.403 0.777 0.758 I
0.500 0.500 0.500 Sm
0.000 0.000 0.000 Pd
```

Calculated values
Its space-group type is P-1 (2). Its uncorrected formation energy is -0.630 eV/atom. The spin magnetization is 0.56 Bohr magnetons per cell.